(1)
# LaMgTe2F | Alexandria | GGA-PBE | optimized geometry
data_LaMgTe2F
_chemical_formula_sum 'La1 Mg1 Te2 F1'
_cell_length_a 6.044
_cell_length_b 7.013
_cell_length_c 6.044
_cell_angle_alpha 90.00
_cell_angle_beta 90.00
_cell_angle_gamma 90.00
_space_group_name_H-M_alt 'P 1'
_space_group_IT_number 1
_space_group_name_Hall 'P 1'
loop_
_atom_site_label
_atom_site_type_symbol
_atom_site_fract_x
_atom_site_fract_y
_atom_site_fract_z
Mg1 Mg 0.000 0.500 0.000
Te1 Te 0.000 0.000 0.500
Te2 Te 0.500 0.000 0.000
F1 F 0.500 0.500 0.500
La1 La 0.000 0.000 0.000
# Density of states at the Fermi level (states/eV per cell): 14.0
# Space-group type: P4/mmm
# Theoretical density (kg/m3): 2835
# M_tot (μB per formula unit): 0.1
# Formation energy without anion corrections (eV/f.u.): -0.89

(2)
# LaMg2TlF | Alexandria | GGA-PBE | optimized geometry
data_LaMg2TlF
_chemical_formula_sum 'La1 Mg2 Tl1 F1'
_cell_length_a 5.562
_cell_length_b 4.799
_cell_length_c 5.562
_cell_angle_alpha 90.00
_cell_angle_beta 90.00
_cell_angle_gamma 90.00
_space_group_name_H-M_alt 'P 1'
_space_group_IT_number 1
_space_group_name_Hall 'P 1'
loop_
_atom_site_label
_atom_site_type_symbol
_atom_site_fract_x
_atom_site_fract_y
_atom_site_fract_z
Tl1 Tl 0.000 0.000 0.000
F1 F 0.000 0.500 0.000
Mg1 Mg 0.000 0.000 0.500
Mg2 Mg 0.500 0.000 0.000
La1 La 0.500 0.500 0.500
# Density of states at the Fermi level (states/eV per cell): 5.0
# Space-group type: P4/mmm
# Theoretical density (kg/m3): 4597
# M_tot (μB per formula unit): 0.0
# Formation energy without anion corrections (eV/f.u.): -1.27

(3)
# LaMg3Tl2F12 | Alexandria | GGA-PBE | optimized geometry
data_LaMg3Tl2F12
_chemical_formula_sum 'La1 Mg3 Tl2 F12'
_cell_length_a 6.802
_cell_length_b 6.802
_cell_length_c 6.802
_cell_angle_alpha 66.95
_cell_angle_beta 66.95
_cell_angle_gamma 66.95
_space_group_name_H-M_alt 'P 1'
_space_group_IT_number 1
_space_group_name_Hall 'P 1'
loop_
_atom_site_label
_atom_site_type_symbol
_atom_site_fract_x
_atom_site_fract_y
_atom_site_fract_z
La1 La 0.000 0.000 0.000
Mg1 Mg 0.500 0.000 0.000
Mg2 Mg 0.000 0.500 0.000
Mg3 Mg 0.000 0.000 0.500
Tl1 Tl 0.608 0.608 0.608
Tl2 Tl 0.392 0.392 0.392
F1 F 0.255 0.255 0.897
F2 F 0.849 0.849 0.425
F3 F 0.425 0.849 0.849
F4 F 0.897 0.255 0.255
F5 F 0.849 0.425 0.849
F6 F 0.255 0.897 0.255
F7 F 0.745 0.745 0.103
F8 F 0.151 0.151 0.575
F9 F 0.575 0.151 0.151
F10 F 0.103 0.745 0.745
F11 F 0.151 0.575 0.151
F12 F 0.745 0.103 0.745
# Density of states at the Fermi level (states/eV per cell): 5.9
# Space-group type: R-3m
# Theoretical density (kg/m3): 5512
# M_tot (μB per formula unit): 0.5
# Formation energy without anion corrections (eV/f.u.): -56.37